# PBE-GGA Tb3Pm2Y8, relaxed
# D(E_F): 50.12 states/eV/cell
# E_form: 0.24 eV per atom
data_Tb3Pm2Y8
_symmetry_space_group_name_H-M 'C 1 2/m 1'
_symmetry_Int_Tables_number 12
_cell_length_a 20.576
_cell_length_b 7.648
_cell_length_c 5.633
_cell_angle_alpha 90.00
_cell_angle_beta 90.02
_cell_angle_gamma 90.00
loop_
_symmetry_equiv_pos_as_xyz
'x,y,z'
'-x,-y,-z'
'-x,y,-z'
'x,-y,z'
'x+1/2,y+1/2,z'
'-x+1/2,-y+1/2,-z'
'-x+1/2,y+1/2,-z'
'x+1/2,-y+1/2,z'
loop_
_atom_site_label
_atom_site_type_symbol
_atom_site_fract_x
_atom_site_fract_y
_atom_site_fract_z
Tb1 Tb 0.000 0.000 0.000
Tb2 Tb 0.000 0.286 0.500
Pm1 Pm 0.241 0.000 0.999
Y1 Y 0.107 0.288 0.000
Y2 Y 0.131 0.000 0.500
Y3 Y 0.166 0.500 0.501